1.
LaHo2Au: relaxed, GGA-PBE.

The structure in CIF format:
```
data_LaHo2Au
_symmetry_space_group_name_H-M 'P n m a'
_symmetry_Int_Tables_number 62
_symmetry_space_group_name_Hall '-P 2ac 2n'
_cell_length_a 7.008
_cell_length_b 10.136
_cell_length_c 6.667
_cell_angle_alpha 90.00
_cell_angle_beta 90.00
_cell_angle_gamma 90.00
loop_
_atom_site_label
_atom_site_type_symbol
_atom_site_fract_x
_atom_site_fract_y
_atom_site_fract_z
La1 La 0.001 0.250 0.130
Ho1 Ho 0.181 0.551 0.324
Au1 Au 0.109 0.250 0.581
```

## Properties
Crystal system: orthorhombic
E_form in eV/f.u.: -1.715
Calculated density in g cm⁻³: 9.337

***

2.
LaMgSb3: relaxed, GGA-PBE.

The structure in CIF format:
```
data_LaMgSb3
_symmetry_space_group_name_H-M 'P b c m'
_symmetry_Int_Tables_number 57
_symmetry_space_group_name_Hall '-P 2c 2b'
_cell_length_a 13.829
_cell_length_b 6.268
_cell_length_c 6.500
_cell_angle_alpha 90.00
_cell_angle_beta 90.00
_cell_angle_gamma 90.00
loop_
_atom_site_label
_atom_site_type_symbol
_atom_site_fract_x
_atom_site_fract_y
_atom_site_fract_z
La1 La 0.181 0.004 0.250
Mg1 Mg 0.398 0.750 0.000
Sb1 Sb 0.001 0.750 0.000
Sb2 Sb 0.255 0.001 0.750
Sb3 Sb 0.421 0.185 0.250
```

## Properties
Crystal system: orthorhombic
Formation energy (no corrections) in eV per atom: -0.61
Calculated density in g cm⁻³: 6.231

***

Number 1: distance to the lowest polymorph of the same formula 0.000 eV/f.u., electronic total energy -76.30 eV for the cell shown. Number 2: distance to the lowest polymorph of the same formula 0.000 eV/f.u., electronic total energy -87.85 eV for the cell shown.